[1]
Computed, not measured: crystalline YBe6Ni2 at its relaxed geometry at the PBE level of DFT.

It has space group Immm (No. 71), with a = 3.622 Å, b = 6.005 Å, c = 9.409 Å, α = 90.00°, β = 90.00° and γ = 90.00°. Symmetry generates all atoms from Y at (0.000, 0.000, 0.000), Be at (0.000, 0.159, 0.500), Be at (0.000, 0.197, 0.287) and Ni at (0.000, 0.500, 0.138).

The formation energy comes out at -0.09 eV/atom. Its total energy is -82.30 eV for the cell shown. The value obtained for the density is 4.23 g/cm3.

[2]
Computed, not measured: crystalline PaTi6Sn6 at its relaxed geometry at the PBE level of DFT.

It has space group P6/mmm (No. 191), with a = 5.7161 Å, b = 5.7161 Å, c = 9.5306 Å, α = 90.00°, β = 90.00° and γ = 120.00°. Symmetry generates all atoms from Pa at (0.0000, 0.0000, 0.0000), Ti at (0.0000, 0.5000, 0.2451), Sn at (0.0000, 0.0000, 0.3305), Sn at (0.3333, 0.6667, 0.0000) and Sn at (0.3333, 0.6667, 0.5000).

The formation energy comes out at -0.35 eV/atom. Its total energy is -85.47 eV for the cell shown. The value obtained for the density is 7.58 g/cm3.

[3]
Computed, not measured: crystalline Rb2SiSb at its relaxed geometry at the PBE level of DFT.

It has space group Fm-3m (No. 225), with a = 8.485 Å, b = 8.485 Å, c = 8.485 Å, α = 90.00°, β = 90.00° and γ = 90.00°. Symmetry generates all atoms from Rb at (0.250, 0.250, 0.250), Si at (0.000, 0.000, 0.000) and Sb at (0.000, 0.000, 0.500).

The value obtained for the uncorrected formation energy is 0.43 eV/atom. The energy above the most stable polymorph in this dataset is 484.5 meV/atom. Its total energy is -39.05 eV for the cell shown. The value obtained for the density is 3.49 g/cm3.

What is the formula in the third record? Rb2SiSb